Entry 1:
Np2P3Pd6 after structural relaxation. Source: Alexandria via LeMat-Bulk, functional GGA-PBE.

Cell: 4.073 7.376 7.376 Å, 120.00 90.00 90.00°
Last column: magnetic moment on the atom in μB.
Sites, in units of the cell vectors:
Np 0.000 0.667 0.333  3.78
Np 0.000 0.333 0.667  3.78
P 0.500 0.627 0.000  -0.02
P 0.500 0.373 0.373  -0.02
P 0.500 0.000 0.627  -0.02
Pd 0.500 0.691 0.691  0.03
Pd 0.500 0.000 0.309  0.03
Pd 0.000 0.212 0.212  0.04
Pd 0.000 0.788 0.000  0.04
Pd 0.000 0.000 0.788  0.04
Pd 0.500 0.309 0.000  0.03

As for the crystal system: hexagonal. For the energy of formation, the calculation gives -0.5660 eV per atom. As for the calculated density: 10.429 Mg/m³.

=====

Entry 2:
YSc2Ta after structural relaxation. Source: Alexandria via LeMat-Bulk, functional GGA-PBE.

Cell: 4.362 4.362 10.881 Å, 78.44 78.44 90.00°
Sites, in units of the cell vectors:
Sc 0.375 0.898 0.750
Sc 0.648 0.625 0.250
Sc 0.875 0.352 0.750
Sc 0.102 0.125 0.250
Ta 0.750 0.250 0.500
Ta 0.000 0.000 0.000
Y 0.500 0.500 0.000
Y 0.250 0.750 0.500

The energy above the lowest structure with this stoichiometry is 0.511 eV/atom. As for the crystal system: tetragonal. For the energy of formation, the calculation gives 0.6682 eV per atom. As for the calculated density: 6.017 Mg/m³.

=====

- energy of formation of number 1 (Np2P3Pd6)?
  -0.5660 eV per atom